Compound: Pr2Tm3Ni2
Source: Alexandria via LeMat-Bulk
Functional: PBE
Structure: optimized geometry

Properties
Size of the total moment = 0.0 μB/f.u.
Formation enthalpy at 0 K = -250 meV/atom
Space group = C2/m

Cell lengths 6.445, 6.445, 9.053 Å; angles 116.54, 116.54, 32.38 degrees
Element x y z (fractional)
Pr1 0.163 0.163 0.309
Pr2 0.837 0.837 0.691
Tm1 0.382 0.382 0.067
Tm2 0.500 0.500 0.500
Tm3 0.618 0.618 0.933
Ni1 0.166 0.166 0.742
Ni2 0.834 0.834 0.258

=====

Compound: PrTmNi10
Source: Alexandria via LeMat-Bulk
Functional: PBE
Structure: optimized geometry

Properties
Size of the total moment = 2.9 μB/f.u.
Formation enthalpy at 0 K = -298 meV/atom
Space group = Pmmm

Cell lengths 3.962, 4.914, 8.513 Å; angles 90.00, 90.00, 90.00 degrees
Element x y z (fractional)
Pr1 0.000 0.000 0.000
Tm1 0.000 0.500 0.500
Ni1 0.000 0.000 0.339
Ni2 0.000 0.000 0.661
Ni3 0.000 0.500 0.174
Ni4 0.000 0.500 0.826
Ni5 0.500 0.000 0.500
Ni6 0.500 0.253 0.256
Ni7 0.500 0.253 0.744
Ni8 0.500 0.500 0.000
Ni9 0.500 0.747 0.256
Ni10 0.500 0.747 0.744

=====

Compound: PrTmNi
Source: Alexandria via LeMat-Bulk
Functional: PBE
Structure: optimized geometry

Properties
Size of the total moment = 0.0 μB/f.u.
Formation enthalpy at 0 K = -246 meV/atom
Space group = C2/m
Offset from the most stable computed form = 0 meV/atom

Cell lengths 6.338, 6.338, 8.250 Å; angles 124.27, 124.27, 34.05 degrees
Element x y z (fractional)
Pr1 0.166 0.166 0.080
Pr2 0.834 0.834 0.920
Tm1 0.417 0.417 0.613
Tm2 0.583 0.583 0.387
Ni1 0.121 0.121 0.665
Ni2 0.879 0.879 0.335

=====

Compound: PrTmNi
Source: Alexandria via LeMat-Bulk
Functional: PBE
Structure: optimized geometry

Properties
Size of the total moment = 0.0 μB/f.u.
Formation enthalpy at 0 K = -112 meV/atom
Space group = F-43m
Offset from the most stable computed form = 134 meV/atom

Cell lengths 4.810, 4.810, 4.810 Å; angles 60.00, 60.00, 60.00 degrees
Element x y z (fractional)
Pr1 0.000 0.000 0.000
Tm1 0.500 0.500 0.500
Ni1 0.750 0.750 0.750

=====

Compound: PrTm4Ni4
Source: Alexandria via LeMat-Bulk
Functional: PBE
Structure: optimized geometry

Properties
Size of the total moment = 0.0 μB/f.u.
Formation enthalpy at 0 K = -276 meV/atom
Space group = P4_2/n

Cell lengths 8.650, 8.650, 5.471 Å; angles 90.00, 90.00, 90.00 degrees
Element x y z (fractional)
Pr1 0.250 0.250 0.250
Pr2 0.750 0.750 0.750
Tm1 0.078 0.657 0.152
Tm2 0.157 0.922 0.652
Tm3 0.343 0.578 0.652
Tm4 0.422 0.843 0.152
Tm5 0.578 0.157 0.848
Tm6 0.657 0.422 0.348
Tm7 0.843 0.078 0.348
Tm8 0.922 0.343 0.848
Ni1 0.036 0.610 0.643
Ni2 0.110 0.964 0.143
Ni3 0.390 0.536 0.143
Ni4 0.464 0.890 0.643
Ni5 0.536 0.110 0.357
Ni6 0.610 0.464 0.857
Ni7 0.890 0.036 0.857
Ni8 0.964 0.390 0.357

=====

Compound: Pr2TmNi9
Source: Alexandria via LeMat-Bulk
Functional: PBE
Structure: optimized geometry

Properties
Size of the total moment = 1.1 μB/f.u.
Formation enthalpy at 0 K = -324 meV/atom
Space group = R-3m

Cell lengths 8.798, 8.798, 8.798 Å; angles 32.96, 32.96, 32.96 degrees
Element x y z (fractional)
Pr1 0.137 0.137 0.137
Pr2 0.863 0.863 0.863
Tm1 0.000 0.000 0.000
Ni1 0.080 0.578 0.578
Ni2 0.333 0.333 0.333
Ni3 0.422 0.422 0.920
Ni4 0.422 0.920 0.422
Ni5 0.500 0.500 0.500
Ni6 0.578 0.080 0.578
Ni7 0.578 0.578 0.080
Ni8 0.667 0.667 0.667
Ni9 0.920 0.422 0.422

=====

Compound: PrTm6Ni2
Source: Alexandria via LeMat-Bulk
Functional: PBE
Structure: optimized geometry

Properties
Size of the total moment = 0.0 μB/f.u.
Formation enthalpy at 0 K = -140 meV/atom
Space group = Immm

Cell lengths 8.472, 8.472, 8.472 Å; angles 115.29, 106.69, 106.60 degrees
Element x y z (fractional)
Pr1 0.000 0.000 0.000
Pr2 0.500 0.000 0.500
Tm1 0.000 0.224 0.777
Tm2 0.000 0.776 0.223
Tm3 0.193 0.496 0.303
Tm4 0.193 0.890 0.697
Tm5 0.310 0.302 0.612
Tm6 0.310 0.698 0.007
Tm7 0.447 0.224 0.223
Tm8 0.553 0.776 0.777
Tm9 0.690 0.302 0.993
Tm10 0.690 0.698 0.388
Tm11 0.807 0.110 0.303
Tm12 0.807 0.504 0.697
Ni1 0.119 0.500 0.619
Ni2 0.374 0.374 0.000
Ni3 0.626 0.626 0.000
Ni4 0.881 0.500 0.381

=====

Compound: PrTm12Ni6
Source: Alexandria via LeMat-Bulk
Functional: PBE
Structure: optimized geometry

Properties
Size of the total moment = 0.0 μB/f.u.
Formation enthalpy at 0 K = -264 meV/atom
Space group = Im-3

Cell lengths 8.419, 8.419, 8.419 Å; angles 109.47, 109.47, 109.47 degrees
Element x y z (fractional)
Pr1 0.000 0.000 0.000
Tm1 0.126 0.816 0.311
Tm2 0.184 0.311 0.495
Tm3 0.184 0.689 0.874
Tm4 0.311 0.126 0.816
Tm5 0.311 0.495 0.184
Tm6 0.495 0.184 0.311
Tm7 0.505 0.816 0.689
Tm8 0.689 0.505 0.816
Tm9 0.689 0.874 0.184
Tm10 0.816 0.311 0.126
Tm11 0.816 0.689 0.505
Tm12 0.874 0.184 0.689
Ni1 0.124 0.624 0.500
Ni2 0.376 0.500 0.876
Ni3 0.500 0.124 0.624
Ni4 0.500 0.876 0.376
Ni5 0.624 0.500 0.124
Ni6 0.876 0.376 0.500

=====

Compound: PrTm3Ni8
Source: Alexandria via LeMat-Bulk
Functional: PBE
Structure: optimized geometry

Properties
Size of the total moment = 0.0 μB/f.u.
Formation enthalpy at 0 K = -413 meV/atom
Space group = P3m1
Offset from the most stable computed form = 25 meV/atom

Cell lengths 5.081, 5.081, 8.281 Å; angles 90.00, 90.00, 120.00 degrees
Element x y z (fractional)
Pr1 0.000 0.000 0.000
Tm1 0.000 0.000 0.377
Tm2 0.667 0.333 0.496
Tm3 0.667 0.333 0.866
Ni1 0.000 0.500 0.190
Ni2 0.168 0.336 0.680
Ni3 0.168 0.832 0.680
Ni4 0.333 0.667 0.433
Ni5 0.333 0.667 0.932
Ni6 0.500 0.000 0.190
Ni7 0.500 0.500 0.190
Ni8 0.664 0.832 0.680

=====

Compound: PrTmNi
Source: Alexandria via LeMat-Bulk
Functional: PBE
Structure: optimized geometry

Properties
Size of the total moment = 0.0 μB/f.u.
Formation enthalpy at 0 K = -198 meV/atom
Space group = I4mm
Offset from the most stable computed form = 48 meV/atom

Cell lengths 6.728, 6.728, 6.728 Å; angles 150.30, 150.30, 42.50 degrees
Element x y z (fractional)
Pr1 0.000 0.000 0.000
Tm1 0.264 0.264 0.000
Ni1 0.651 0.651 0.000

=====

Compound: PrTm3Ni
Source: Alexandria via LeMat-Bulk
Functional: PBE
Structure: optimized geometry

Properties
Size of the total moment = 0.0 μB/f.u.
Formation enthalpy at 0 K = -124 meV/atom
Space group = P2_1/c
Offset from the most stable computed form = 0 meV/atom

Cell lengths 9.186, 6.169, 9.906 Å; angles 90.00, 99.20, 90.00 degrees
Element x y z (fractional)
Pr1 0.090 0.063 0.184
Pr2 0.090 0.437 0.684
Pr3 0.910 0.563 0.316
Pr4 0.910 0.937 0.816
Tm1 0.180 0.592 0.050
Tm2 0.180 0.908 0.550
Tm3 0.276 0.089 0.905
Tm4 0.276 0.411 0.405
Tm5 0.471 0.623 0.843
Tm6 0.471 0.877 0.343
Tm7 0.529 0.123 0.657
Tm8 0.529 0.377 0.157
Tm9 0.724 0.589 0.595
Tm10 0.724 0.911 0.095
Tm11 0.820 0.092 0.450
Tm12 0.820 0.408 0.950
Ni1 0.436 0.677 0.577
Ni2 0.436 0.823 0.077
Ni3 0.564 0.177 0.923
Ni4 0.564 0.323 0.423

=====

Compound: Pr2TmZn12Ni3
Source: Alexandria via LeMat-Bulk
Functional: PBE
Structure: optimized geometry

Properties
Size of the total moment = 0.0 μB/f.u.
Formation enthalpy at 0 K = 75 meV/atom
Space group = R-3m

Cell lengths 9.289, 9.289, 9.289 Å; angles 45.39, 45.39, 45.39 degrees
Element x y z (fractional)
Pr1 0.126 0.126 0.126
Pr2 0.874 0.874 0.874
Tm1 0.500 0.500 0.500
Zn1 0.006 0.646 0.646
Zn2 0.255 0.255 0.655
Zn3 0.255 0.655 0.255
Zn4 0.345 0.745 0.745
Zn5 0.354 0.354 0.994
Zn6 0.354 0.994 0.354
Zn7 0.646 0.006 0.646
Zn8 0.646 0.646 0.006
Zn9 0.655 0.255 0.255
Zn10 0.745 0.345 0.745
Zn11 0.745 0.745 0.345
Zn12 0.994 0.354 0.354
Ni1 0.000 0.500 0.500
Ni2 0.500 0.000 0.500
Ni3 0.500 0.500 0.000

=====

Compound: Pr2U2Ni15
Source: Alexandria via LeMat-Bulk
Functional: PBE
Structure: optimized geometry

Properties
Size of the total moment = 2.2 μB/f.u.
Formation enthalpy at 0 K = -223 meV/atom
Space group = R-3m

Cell lengths 6.509, 6.509, 6.509 Å; angles 81.82, 81.82, 81.82 degrees
Element x y z (fractional)
Pr1 0.144 0.144 0.144
Pr2 0.856 0.856 0.856
U1 0.402 0.402 0.402
U2 0.598 0.598 0.598
Ni1 0.000 0.500 0.500
Ni2 0.159 0.159 0.657
Ni3 0.159 0.657 0.159
Ni4 0.192 0.500 0.808
Ni5 0.192 0.808 0.500
Ni6 0.343 0.841 0.841
Ni7 0.500 0.000 0.500
Ni8 0.500 0.192 0.808
Ni9 0.500 0.500 0.000
Ni10 0.500 0.808 0.192
Ni11 0.657 0.159 0.159
Ni12 0.808 0.192 0.500
Ni13 0.808 0.500 0.192
Ni14 0.841 0.343 0.841
Ni15 0.841 0.841 0.343

=====

Compound: Pr2UNi9
Source: Alexandria via LeMat-Bulk
Functional: PBE
Structure: optimized geometry

Properties
Size of the total moment = 1.1 μB/f.u.
Formation enthalpy at 0 K = -232 meV/atom
Space group = R-3m

Cell lengths 8.845, 8.845, 8.845 Å; angles 32.61, 32.61, 32.61 degrees
Element x y z (fractional)
Pr1 0.138 0.138 0.138
Pr2 0.862 0.862 0.862
U1 0.000 0.000 0.000
Ni1 0.080 0.579 0.579
Ni2 0.333 0.333 0.333
Ni3 0.421 0.421 0.920
Ni4 0.421 0.920 0.421
Ni5 0.500 0.500 0.500
Ni6 0.579 0.080 0.579
Ni7 0.579 0.579 0.080
Ni8 0.667 0.667 0.667
Ni9 0.920 0.421 0.421

=====

Compound: PrUNi2
Source: Alexandria via LeMat-Bulk
Functional: PBE
Structure: optimized geometry

Properties
Size of the total moment = 1.3 μB/f.u.
Formation enthalpy at 0 K = 46 meV/atom
Space group = R-3m

Cell lengths 7.503, 7.503, 7.503 Å; angles 28.58, 28.58, 28.58 degrees
Element x y z (fractional)
Pr1 0.000 0.000 0.000
U1 0.500 0.500 0.500
Ni1 0.238 0.238 0.238
Ni2 0.762 0.762 0.762

=====

Compound: PrUNi10
Source: Alexandria via LeMat-Bulk
Functional: PBE
Structure: optimized geometry

Properties
Size of the total moment = 0.8 μB/f.u.
Formation enthalpy at 0 K = -246 meV/atom
Space group = Pmmm

Cell lengths 3.991, 4.896, 8.453 Å; angles 90.00, 90.00, 90.00 degrees
Element x y z (fractional)
Pr1 0.000 0.000 0.000
U1 0.000 0.500 0.500
Ni1 0.000 0.000 0.342
Ni2 0.000 0.000 0.658
Ni3 0.000 0.500 0.184
Ni4 0.000 0.500 0.816
Ni5 0.500 0.000 0.500
Ni6 0.500 0.255 0.259
Ni7 0.500 0.255 0.741
Ni8 0.500 0.500 0.000
Ni9 0.500 0.745 0.259
Ni10 0.500 0.745 0.741

=====

Compound: PrVNi
Source: Alexandria via LeMat-Bulk
Functional: PBE
Structure: optimized geometry

Properties
Size of the total moment = 0.0 μB/f.u.
Formation enthalpy at 0 K = 21 meV/atom
Space group = P4/nmm

Cell lengths 3.808, 3.808, 8.229 Å; angles 90.00, 90.00, 90.00 degrees
Element x y z (fractional)
Pr1 0.250 0.250 0.170
Pr2 0.750 0.750 0.830
V1 0.250 0.750 0.500
V2 0.750 0.250 0.500
Ni1 0.250 0.250 0.699
Ni2 0.750 0.750 0.301

=====

Compound: Pr3YNi8
Source: Alexandria via LeMat-Bulk
Functional: PBE
Structure: optimized geometry

Properties
Size of the total moment = 0.0 μB/f.u.
Formation enthalpy at 0 K = -310 meV/atom
Space group = R3m

Cell lengths 8.974, 8.974, 8.974 Å; angles 33.47, 33.47, 33.47 degrees
Element x y z (fractional)
Pr1 0.000 0.000 0.000
Pr2 0.125 0.125 0.125
Pr3 0.501 0.501 0.501
Y1 0.626 0.626 0.626
Ni1 0.059 0.563 0.563
Ni2 0.064 0.064 0.565
Ni3 0.064 0.565 0.064
Ni4 0.313 0.313 0.313
Ni5 0.563 0.059 0.563
Ni6 0.563 0.563 0.059
Ni7 0.565 0.064 0.064
Ni8 0.813 0.813 0.813

=====

Compound: PrYNi4
Source: Alexandria via LeMat-Bulk
Functional: PBE
Structure: optimized geometry

Properties
Size of the total moment = 0.0 μB/f.u.
Formation enthalpy at 0 K = -342 meV/atom
Space group = F-43m

Cell lengths 5.145, 5.145, 5.145 Å; angles 60.00, 60.00, 60.00 degrees
Element x y z (fractional)
Pr1 0.000 0.000 0.000
Y1 0.750 0.750 0.750
Ni1 0.376 0.376 0.376
Ni2 0.376 0.376 0.873
Ni3 0.376 0.873 0.376
Ni4 0.873 0.376 0.376

=====

Compound: Pr2Y3Ni2
Source: Alexandria via LeMat-Bulk
Functional: PBE
Structure: optimized geometry

Properties
Size of the total moment = 0.0 μB/f.u.
Formation enthalpy at 0 K = -219 meV/atom
Space group = C2/m

Cell lengths 6.486, 6.486, 9.176 Å; angles 115.34, 115.34, 32.60 degrees
Element x y z (fractional)
Pr1 0.167 0.167 0.309
Pr2 0.833 0.833 0.691
Y1 0.384 0.384 0.070
Y2 0.500 0.500 0.500
Y3 0.616 0.616 0.930
Ni1 0.169 0.169 0.740
Ni2 0.831 0.831 0.260